Record 1
Below is a relaxed YCd2 crystal, with properties calculated at the PBE level. Values from VASP.

* formation enthalpy at 0 K: -0.173 eV per atom
* magnetization: 0.00 Bohr magnetons per cell
* final energy: -2.938 eV per atom

Geometry as Quantum ESPRESSO input:
```
&SYSTEM
  ibrav = 0, nat = 3, ntyp = 2
/
ATOMIC_SPECIES
Cd 112.41 Cd.upf
Y 88.91 Y.upf
CELL_PARAMETERS angstrom
-5.071 -0.793 1.996
-3.082 -3.743 -2.611
4.715 0.791 2.732
ATOMIC_POSITIONS crystal
Cd 0.669 0.669 0.000
Cd 0.998 0.998 0.000
Y 0.333 0.333 0.000
```

=====

Record 2
Below is a relaxed TiBeSb2As crystal, with properties calculated at the PBE level. Values from VASP.

* polymorph energy (0 for the lowest one): 10.7 meV per atom
* formation energy (no corrections): 51.3 kJ per mole of atoms
* magnetization: 0.00 Bohr magnetons per cell
* final energy: -4.371 eV per atom

Geometry as Quantum ESPRESSO input:
```
&SYSTEM
  ibrav = 0, nat = 5, ntyp = 4
/
ATOMIC_SPECIES
Sb 121.76 Sb.upf
Be 9.01 Be.upf
As 74.92 As.upf
Ti 47.87 Ti.upf
CELL_PARAMETERS angstrom
-4.787 -1.646 -0.607
0.996 -1.536 -3.691
1.248 -4.436 2.182
ATOMIC_POSITIONS crystal
Sb 0.500 0.000 0.000
Sb 0.000 0.000 0.500
Be 0.000 0.000 0.000
As 0.000 0.500 0.000
Ti 0.500 0.500 0.500
```

=====

Record 3
Below is a relaxed CoTc2Pt crystal, with properties calculated at the PBE level. Values from VASP.

* polymorph energy (0 for the lowest one): 135.8 meV per atom
* formation enthalpy at 0 K: 0.087 eV per atom
* magnetization: 0.60 Bohr magnetons per cell
* final energy: -8.382 eV per atom

Geometry as Quantum ESPRESSO input:
```
&SYSTEM
  ibrav = 0, nat = 4, ntyp = 3
/
ATOMIC_SPECIES
Tc 98.00 Tc.upf
Co 58.93 Co.upf
Pt 195.08 Pt.upf
CELL_PARAMETERS angstrom
-6.924 1.190 -5.477
-7.430 -1.358 -4.723
-8.287 0.701 -3.193
ATOMIC_POSITIONS crystal
Tc 0.995 0.995 0.995
Tc 0.505 0.505 0.505
Co 0.250 0.250 0.250
Pt 0.750 0.750 0.750
```